Entry 1:
A geometry-optimized HfMgAu2 structure. Source: Alexandria, functional PBE.

Cell and atoms, written as CIF:
```
data_HfMgAu2
_chemical_formula_sum 'Hf4 Mg4 Au8'
_cell_length_a 6.0867
_cell_length_b 6.0867
_cell_length_c 12.0341
_cell_angle_alpha 90.00
_cell_angle_beta 90.00
_cell_angle_gamma 90.00
_space_group_name_H-M_alt 'I -4 2 d'
_space_group_IT_number 122
_space_group_name_Hall 'I -4 2bw'
loop_
_atom_site_label
_atom_site_type_symbol
_atom_site_fract_x
_atom_site_fract_y
_atom_site_fract_z
Hf1 Hf 0.0000 0.0000 0.0000
Mg1 Mg 0.0000 0.0000 0.5000
Au1 Au 0.2442 0.2500 0.6250
```

Output
Energy of formation   0.1621 eV/atom
Energy   -4.364 eV per atom

---

Entry 2:
A geometry-optimized Zr2AgC structure. Source: Alexandria, functional PBE.

Cell and atoms, written as CIF:
```
data_Zr2AgC
_chemical_formula_sum 'Zr8 Ag4 C4'
_cell_length_a 3.2935
_cell_length_b 17.6817
_cell_length_c 4.7195
_cell_angle_alpha 90.00
_cell_angle_beta 90.00
_cell_angle_gamma 90.00
_space_group_name_H-M_alt 'C m c m'
_space_group_IT_number 63
_space_group_name_Hall '-C 2c 2'
loop_
_atom_site_label
_atom_site_type_symbol
_atom_site_fract_x
_atom_site_fract_y
_atom_site_fract_z
Zr1 Zr 0.0000 0.1080 0.2500
Zr2 Zr 0.0000 0.2884 0.2500
Ag1 Ag 0.0000 0.4565 0.2500
C1 C 0.0000 0.3034 0.7500
```

Output
Energy of formation   -0.4975 eV/atom
Energy   -7.790 eV per atom